Below is an optimized crystal structure of K2UCl8, with properties calculated at the PBE level.

Lattice parameters (Å, degrees): 11.289 11.289 6.484 93.65 93.65 25.09
Atoms (fractional coordinates):
K  0.205  0.205  0.244
K  0.795  0.795  0.756
U  0.500  0.500  0.500
Cl  0.021  0.021  0.289
Cl  0.213  0.213  0.750
Cl  0.395  0.395  0.639
Cl  0.434  0.434  0.177
Cl  0.566  0.566  0.823
Cl  0.605  0.605  0.361
Cl  0.787  0.787  0.250
Cl  0.979  0.979  0.711

Output
N(E_F), states/eV/f.u.: 12.9
Calculated volume, Å³/cell: 349.6
E_tot, eV per atom: -4.04
Polymorph energy (0 for the lowest one), meV per atom: 140.4